This record from Alexandria describes BaNdV2O8 after structural relaxation. The functional is PBE+U.

Cell lengths 5.844, 5.844, 7.835 Å; angles 90.00, 90.00, 120.00 degrees
Fractional coordinates of all 12 atoms:
Ba 0.000 0.000 0.000
Nd 0.000 0.000 0.500
V 0.333 0.667 0.778
V 0.667 0.333 0.222
O 0.169 0.338 0.706
O 0.169 0.831 0.706
O 0.333 0.667 0.994
O 0.338 0.169 0.294
O 0.662 0.831 0.706
O 0.667 0.333 0.006
O 0.831 0.169 0.294
O 0.831 0.662 0.294

Properties
Total moment in Bohr magnetons per cell: 1.11
Uncorrected energy in hartree per atom: -0.273